Here is a relaxed structure of La2Zn5Ge3 from Alexandria. Energies are from PBE.

Cell: 4.4795 4.4795 10.1101 Å, 90.00 90.00 90.00°
Space group P-4m2 (No. 115)
Inequivalent atoms, fractional coordinates:
La 0.0000 0.5000 0.2479 (multiplicity 2)
Zn 0.0000 0.0000 0.0000 (multiplicity 1)
Zn 0.0000 0.0000 0.5000 (multiplicity 1)
Zn 0.0000 0.5000 0.8800 (multiplicity 2)
Zn 0.5000 0.5000 0.0000 (multiplicity 1)
Ge 0.0000 0.5000 0.6363 (multiplicity 2)
Ge 0.5000 0.5000 0.5000 (multiplicity 1)

Output
- energy of formation from the pure elements (eV/atom) = -0.3717
- E above lowest polymorph (eV per atom) = 0.107
- electronic total energy (eV per atom) = -3.379


Here is a relaxed structure of La3Zn2Ge from Alexandria. Energies are from PBE.

Cell: 5.2976 5.2976 6.5438 Å, 90.00 90.00 120.00°
Space group P-3m1 (No. 164)
Inequivalent atoms, fractional coordinates:
La 0.0000 0.0000 0.0000 (multiplicity 1)
La 0.3333 0.6667 0.6582 (multiplicity 2)
Zn 0.3333 0.6667 0.1396 (multiplicity 2)
Ge 0.0000 0.0000 0.5000 (multiplicity 1)

Output
- energy of formation from the pure elements (eV/atom) = -0.4725
- electronic total energy (eV per atom) = -4.130


Here is a relaxed structure of LaZn2Ge from Alexandria. Energies are from PBE.

Cell: 4.6629 4.6629 17.8604 Å, 90.00 90.00 90.00°
Space group I-42d (No. 122)
Inequivalent atoms, fractional coordinates:
La 0.0000 0.0000 0.0000 (multiplicity 4)
Zn 0.0585 0.2500 0.6250 (multiplicity 8)
Ge 0.0000 0.0000 0.5000 (multiplicity 4)

Output
- energy of formation from the pure elements (eV/atom) = -0.2639
- electronic total energy (eV per atom) = -3.287


Here is a relaxed structure of LaZnGe2 from Alexandria. Energies are from PBE.

Cell: 4.8656 4.8656 16.9058 Å, 90.00 90.00 90.00°
Space group I-42d (No. 122)
Inequivalent atoms, fractional coordinates:
La 0.0000 0.0000 0.0000 (multiplicity 4)
Zn 0.0000 0.0000 0.5000 (multiplicity 4)
Ge 0.1185 0.2500 0.6250 (multiplicity 8)

Output
- energy of formation from the pure elements (eV/atom) = -0.2996
- electronic total energy (eV per atom) = -4.159


Here is a relaxed structure of La3Zn2Ge3 from Alexandria. Energies are from PBE.

Cell: 4.3180 11.4039 15.8057 Å, 90.00 90.00 90.00°
Space group Cmcm (No. 63)
Inequivalent atoms, fractional coordinates:
La 0.0000 0.0563 0.2500 (multiplicity 4)
La 0.0000 0.3557 0.0951 (multiplicity 8)
Zn 0.0000 0.3531 0.6192 (multiplicity 8)
Ge 0.0000 0.0789 0.0547 (multiplicity 8)
Ge 0.0000 0.2171 0.7500 (multiplicity 4)

Output
- energy of formation from the pure elements (eV/atom) = -0.6609
- E above lowest polymorph (eV per atom) = 0.021
- electronic total energy (eV per atom) = -4.559


Here is a relaxed structure of LaZn3Ge from Alexandria. Energies are from PBE.

Cell: 6.1258 10.7170 5.9838 Å, 90.00 90.00 90.00°
Space group Cmcm (No. 63)
Inequivalent atoms, fractional coordinates:
La 0.0000 0.2472 0.2500 (multiplicity 4)
Zn 0.0000 0.1235 0.7500 (multiplicity 4)
Zn 0.2434 0.5000 0.0000 (multiplicity 8)
Ge 0.0000 0.3569 0.7500 (multiplicity 4)

Output
- energy of formation from the pure elements (eV/atom) = -0.4703
- E above lowest polymorph (eV per atom) = 0.000
- electronic total energy (eV per atom) = -3.144


Here is a relaxed structure of LaZnGe from Alexandria. Energies are from PBE.

Cell: 4.3015 4.3015 4.3805 Å, 90.00 90.00 120.00°
Space group P-6m2 (No. 187)
Inequivalent atoms, fractional coordinates:
La 0.0000 0.0000 0.0000 (multiplicity 1)
Zn 0.3333 0.6667 0.5000 (multiplicity 1)
Ge 0.6667 0.3333 0.5000 (multiplicity 1)

Output
- energy of formation from the pure elements (eV/atom) = -0.6914
- electronic total energy (eV per atom) = -4.298


Here is a relaxed structure of La3Zn2Ge2 from Alexandria. Energies are from PBE.

Cell: 4.2599 4.4498 18.8964 Å, 90.00 90.00 90.00°
Space group Immm (No. 71)
Inequivalent atoms, fractional coordinates:
La 0.0000 0.0000 0.0000 (multiplicity 2)
La 0.0000 0.5000 0.3145 (multiplicity 4)
Zn 0.0000 0.0000 0.4352 (multiplicity 4)
Ge 0.0000 0.5000 0.1413 (multiplicity 4)

Output
- energy of formation from the pure elements (eV/atom) = -0.6637
- electronic total energy (eV per atom) = -4.459


Here is a relaxed structure of La2Zn2Ge3 from Alexandria. Energies are from PBE.

Cell: 4.5142 19.4986 7.0227 Å, 90.00 90.00 90.00°
Space group Cmcm (No. 63)
Inequivalent atoms, fractional coordinates:
La 0.0000 0.0475 0.2500 (multiplicity 4)
La 0.0000 0.1587 0.7500 (multiplicity 4)
Zn 0.0000 0.3146 0.5607 (multiplicity 8)
Ge 0.0000 0.2154 0.2500 (multiplicity 4)
Ge 0.0000 0.4376 0.0679 (multiplicity 8)

Output
- energy of formation from the pure elements (eV/atom) = -0.5761
- electronic total energy (eV per atom) = -4.327


Here is a relaxed structure of La7Zn2Ge2 from Alexandria. Energies are from PBE.

Cell: 8.0552 11.2979 7.4308 Å, 90.00 90.00 90.00°
Space group Cmmm (No. 65)
Inequivalent atoms, fractional coordinates:
La 0.0000 0.0000 0.0000 (multiplicity 2)
La 0.0000 0.5000 0.2599 (multiplicity 4)
La 0.2500 0.2500 0.2973 (multiplicity 8)
Zn 0.0000 0.2838 0.0000 (multiplicity 4)
Ge 0.1617 0.0000 0.5000 (multiplicity 4)

Output
- energy of formation from the pure elements (eV/atom) = -0.1839
- electronic total energy (eV per atom) = -4.391


Here is a relaxed structure of LaZnGe from Alexandria. Energies are from PBE.

Cell: 4.2273 4.2273 8.4843 Å, 90.00 90.00 90.00°
Space group I4mm (No. 107)
Inequivalent atoms, fractional coordinates:
La 0.0000 0.0000 0.0000 (multiplicity 2)
Zn 0.0000 0.0000 0.3453 (multiplicity 2)
Ge 0.0000 0.0000 0.6453 (multiplicity 2)

Output
- energy of formation from the pure elements (eV/atom) = -0.2473
- electronic total energy (eV per atom) = -3.854


Here is a relaxed structure of La5ZnGe2 from Alexandria. Energies are from PBE.

Cell: 8.0635 8.0635 14.4504 Å, 90.00 90.00 90.00°
Space group I4/mcm (No. 140)
Inequivalent atoms, fractional coordinates:
La 0.0000 0.0000 0.0000 (multiplicity 4)
La 0.1765 0.3235 0.1458 (multiplicity 16)
Zn 0.0000 0.0000 0.2500 (multiplicity 4)
Ge 0.1208 0.3792 0.5000 (multiplicity 8)

Output
- energy of formation from the pure elements (eV/atom) = -0.5227
- electronic total energy (eV per atom) = -4.916


Look up the electronic total energy of the ninth one.
-4.327 eV per atom


Among the records above, which one has the lowest electronic total energy?
La5ZnGe2